Mn2MoO6 (PBE+U, relaxed); density of states at the Fermi level = 3.44 states/eV per cell; M_tot = 8.000 μB/f.u.; ρ = 5.10 g/cm3; total DFT energy (no corrections) = -0.536 Ry/atom
1.0
4.643 0.000 0.000
0.000 4.643 0.000
0.000 0.000 9.125
Mn Mo O
4 2 12
direct
0.000 0.000 0.166 Mn
0.000 0.000 0.834 Mn
0.500 0.500 0.334 Mn
0.500 0.500 0.666 Mn
0.000 0.000 0.500 Mo
0.500 0.500 0.000 Mo
0.193 0.193 0.332 O
0.193 0.193 0.668 O
0.198 0.198 0.000 O
0.302 0.698 0.500 O
0.307 0.693 0.168 O
0.307 0.693 0.832 O
0.693 0.307 0.168 O
0.693 0.307 0.832 O
0.698 0.302 0.500 O
0.802 0.802 0.000 O
0.807 0.807 0.332 O
0.807 0.807 0.668 O